(1)
VASP calculation (GGA-PBE) on a relaxed CsPaB2O6 crystal.

extended XYZ file:
```
20
Lattice="6.787 0.117 -0.003 -0.715 6.750 -0.003 -1.748 -1.977 7.415" Properties=species:S:1:pos:R:3 pbc="T T T"
Cs -0.325 5.525 1.850
Cs 4.649 -0.635 5.558
Pa 3.849 1.834 1.850
Pa 0.475 3.056 5.558
B 1.198 -0.273 6.016
B 3.868 2.746 5.099
B 3.126 5.164 1.392
B 0.456 2.144 2.309
O 6.064 1.901 1.681
O 4.055 -0.372 2.019
O -1.740 2.990 5.727
O 0.270 5.263 5.389
O 1.666 1.662 1.847
O 3.753 4.022 1.854
O 2.658 3.228 5.561
O 0.572 0.868 5.554
O 0.419 2.999 3.402
O 2.274 5.096 0.299
O 3.905 1.892 4.006
O 2.050 -0.205 7.109
```

For the formation energy without anion corrections, the calculation gives -2.806 eV/atom.

(2)
VASP calculation (GGA-PBE) on a relaxed CsB2Pb2O6 crystal.

extended XYZ file:
```
11
Lattice="6.083 0.314 0.053 3.264 5.370 0.227 -0.057 -2.706 6.022" Properties=species:S:1:pos:R:3 pbc="T T T"
Cs 3.013 -1.196 3.038
B 2.829 1.761 4.758
B 6.462 1.218 1.544
Pb 6.017 0.146 4.840
Pb 3.273 2.832 1.462
O 3.755 0.810 5.237
O 1.715 1.081 1.220
O 3.282 2.852 4.028
O 7.575 1.898 5.082
O 6.009 0.126 2.275
O 5.535 2.168 1.065
```

For the formation energy without anion corrections, the calculation gives -1.704 eV/atom.

(3)
VASP calculation (GGA-PBE) on a relaxed Cs2B2PbO6 crystal.

extended XYZ file:
```
11
Lattice="5.445 0.000 0.000 2.722 4.715 0.000 2.722 1.572 7.465" Properties=species:S:1:pos:R:3 pbc="T T T"
Cs 8.167 4.715 4.836
Cs 2.722 1.572 2.629
B 5.445 3.144 6.245
B 5.445 3.144 1.220
Pb 0.000 0.000 0.000
O 6.649 3.839 1.325
O 4.240 3.839 1.325
O 5.445 1.753 1.325
O 5.445 4.534 6.140
O 6.649 2.448 6.140
O 4.240 2.448 6.140
```

For the formation energy without anion corrections, the calculation gives -1.800 eV/atom.

(4)
VASP calculation (GGA-PBE) on a relaxed CsBPd2O crystal.

extended XYZ file:
```
5
Lattice="-4.162 -2.934 -1.164 3.189 -4.066 -1.155 -0.254 -1.609 4.964" Properties=species:S:1:pos:R:3 pbc="T T T"
Cs 0.000 0.000 0.000
B 1.594 -2.033 -0.577
O -0.614 -4.304 1.323
Pd -0.127 -0.804 2.482
Pd -2.081 -1.467 -0.582
```

For the formation energy without anion corrections, the calculation gives 2.464 eV/atom.

Question: Look up the formation energy without anion corrections of the third one.
Answer: -1.800 eV/atom

Question: Which of these has the highest formation energy without anion corrections?
Answer: CsBPd2O

Question: What is the formation energy without anion corrections in the third record?
Answer: -1.800 eV/atom